[1]
A PBEsol-optimized structure of MgNiAs. Source: Alexandria, functional meta-GGA SCAN.

```
data_MgNiAs
_chemical_formula_sum 'Mg1 Ni1 As1'
_cell_length_a 3.914
_cell_length_b 3.914
_cell_length_c 3.581
_cell_angle_alpha 90.00
_cell_angle_beta 90.00
_cell_angle_gamma 120.00
_space_group_name_H-M_alt 'P 1'
_space_group_IT_number 1
loop_
_space_group_symop_operation_xyz
'x,y,z'
loop_
_atom_site_label
_atom_site_type_symbol
_atom_site_fract_x
_atom_site_fract_y
_atom_site_fract_z
Mg1 Mg 0.000 0.000 0.000
Ni1 Ni 0.333 0.667 0.500
As1 As 0.667 0.333 0.500
```

## Properties
The calculation puts the energy of formation at -1.29 eV per formula unit. Its volume is 48 Å³ per cell. The total energy comes out at -14.211 eV/atom.

***

[2]
A PBEsol-optimized structure of MgNiAsSe2. Source: Alexandria, functional meta-GGA SCAN.

```
data_MgNiAsSe2
_chemical_formula_sum 'Mg1 Ni1 As1 Se2'
_cell_length_a 4.910
_cell_length_b 4.910
_cell_length_c 4.271
_cell_angle_alpha 90.00
_cell_angle_beta 90.00
_cell_angle_gamma 90.00
_space_group_name_H-M_alt 'P 1'
_space_group_IT_number 1
loop_
_space_group_symop_operation_xyz
'x,y,z'
loop_
_atom_site_label
_atom_site_type_symbol
_atom_site_fract_x
_atom_site_fract_y
_atom_site_fract_z
Mg1 Mg 0.000 0.000 0.000
Ni1 Ni 0.500 0.500 0.500
As1 As 0.500 0.500 0.000
Se1 Se 0.000 0.500 0.500
Se2 Se 0.500 0.000 0.500
```

## Properties
Its volume is 103 Å³ per cell. The total energy comes out at -16.253 eV/atom.

***

[3]
A PBEsol-optimized structure of Mg2As2O7. Source: Alexandria, functional meta-GGA SCAN.

```
data_Mg2As2O7
_chemical_formula_sum 'Mg2 As2 O7'
_cell_length_a 5.396
_cell_length_b 5.396
_cell_length_c 4.800
_cell_angle_alpha 97.45
_cell_angle_beta 97.45
_cell_angle_gamma 106.14
_space_group_name_H-M_alt 'P 1'
_space_group_IT_number 1
loop_
_space_group_symop_operation_xyz
'x,y,z'
loop_
_atom_site_label
_atom_site_type_symbol
_atom_site_fract_x
_atom_site_fract_y
_atom_site_fract_z
Mg1 Mg 0.190 0.810 0.000
Mg2 Mg 0.810 0.190 0.000
As1 As 0.260 0.260 0.602
As2 As 0.740 0.740 0.398
O1 O 0.091 0.091 0.274
O2 O 0.098 0.430 0.793
O3 O 0.430 0.098 0.793
O4 O 0.500 0.500 0.500
O5 O 0.570 0.902 0.207
O6 O 0.902 0.570 0.207
O7 O 0.909 0.909 0.726
```

## Properties
Its volume is 131 Å³ per cell. The total energy comes out at -10.595 eV/atom.

***

[4]
A PBEsol-optimized structure of Mg3AsO. Source: Alexandria, functional meta-GGA SCAN.

```
data_Mg3AsO
_chemical_formula_sum 'Mg3 As1 O1'
_cell_length_a 4.274
_cell_length_b 4.274
_cell_length_c 4.274
_cell_angle_alpha 90.00
_cell_angle_beta 90.00
_cell_angle_gamma 90.00
_space_group_name_H-M_alt 'P 1'
_space_group_IT_number 1
loop_
_space_group_symop_operation_xyz
'x,y,z'
loop_
_atom_site_label
_atom_site_type_symbol
_atom_site_fract_x
_atom_site_fract_y
_atom_site_fract_z
Mg1 Mg 0.000 0.000 0.500
Mg2 Mg 0.000 0.500 0.000
Mg3 Mg 0.500 0.000 0.000
As1 As 0.500 0.500 0.500
O1 O 0.000 0.000 0.000
```

## Properties
Its volume is 78 Å³ per cell. The total energy comes out at -9.456 eV/atom.

***

[5]
A PBEsol-optimized structure of MgAs3O. Source: Alexandria, functional meta-GGA SCAN.

```
data_MgAs3O
_chemical_formula_sum 'Mg1 As3 O1'
_cell_length_a 4.383
_cell_length_b 4.383
_cell_length_c 4.383
_cell_angle_alpha 90.00
_cell_angle_beta 90.00
_cell_angle_gamma 90.00
_space_group_name_H-M_alt 'P 1'
_space_group_IT_number 1
loop_
_space_group_symop_operation_xyz
'x,y,z'
loop_
_atom_site_label
_atom_site_type_symbol
_atom_site_fract_x
_atom_site_fract_y
_atom_site_fract_z
Mg1 Mg 0.000 0.000 0.000
As1 As 0.000 0.500 0.500
As2 As 0.500 0.000 0.500
As3 As 0.500 0.500 0.000
O1 O 0.500 0.500 0.500
```

## Properties
Its volume is 84 Å³ per cell. The total energy comes out at -14.272 eV/atom.

***

[6]
A PBEsol-optimized structure of Mg2ZrAsO. Source: Alexandria, functional meta-GGA SCAN.

```
data_Mg2ZrAsO
_chemical_formula_sum 'Mg2 Zr1 As1 O1'
_cell_length_a 5.805
_cell_length_b 5.805
_cell_length_c 4.964
_cell_angle_alpha 90.00
_cell_angle_beta 90.00
_cell_angle_gamma 90.00
_space_group_name_H-M_alt 'P 1'
_space_group_IT_number 1
loop_
_space_group_symop_operation_xyz
'x,y,z'
loop_
_atom_site_label
_atom_site_type_symbol
_atom_site_fract_x
_atom_site_fract_y
_atom_site_fract_z
Mg1 Mg 0.000 0.500 0.000
Mg2 Mg 0.500 0.000 0.000
Zr1 Zr 0.000 0.000 0.000
As1 As 0.000 0.000 0.500
O1 O 0.500 0.500 0.500
```

## Properties
Its volume is 167 Å³ per cell. The total energy comes out at -12.444 eV/atom.